Entry 1:
A relaxed Ti2PtW crystal. Source: the Alexandria database, functional GGA-PBE.

Values from the calculation:
E = -8.462 eV per atom
Formation energy = 234 meV/atom
SG = Immm, No. 71

a b c (Å): 5.827 5.827 5.827
angles (deg): 152.81 130.55 57.34
Fractional positions:
Ti 0.244 0.244 0.000
Ti 0.756 0.756 0.000
Pt 0.000 0.000 0.000
W 0.500 0.500 0.000



Entry 2:
A relaxed Sm3Ho3In crystal. Source: the Alexandria database, functional GGA-PBE.

Values from the calculation:
E = -4.488 eV per atom
Formation energy = -112 meV/atom
SG = P6_3/m, No. 176

a b c (Å): 9.445 9.445 5.582
angles (deg): 90.00 90.00 120.00
Fractional positions:
Sm 0.106 0.629 0.250
Sm 0.371 0.476 0.250
Sm 0.476 0.106 0.750
Sm 0.524 0.894 0.250
Sm 0.629 0.524 0.750
Sm 0.894 0.371 0.750
Ho 0.061 0.823 0.750
Ho 0.177 0.238 0.750
Ho 0.238 0.061 0.250
Ho 0.762 0.939 0.750
Ho 0.823 0.762 0.250
Ho 0.939 0.177 0.250
In 0.333 0.667 0.750
In 0.667 0.333 0.250



Entry 3:
A relaxed Pm6TlSb2 crystal. Source: the Alexandria database, functional GGA-PBE.

Values from the calculation:
E = -4.955 eV per atom
Formation energy from raw total energies = -0.61 eV/atom
SG = P-62m, No. 189

a b c (Å): 8.582 8.582 4.377
angles (deg): 90.00 90.00 120.00
Fractional positions:
Pm 0.000 0.264 0.000
Pm 0.000 0.588 0.500
Pm 0.264 0.000 0.000
Pm 0.412 0.412 0.500
Pm 0.588 0.000 0.500
Pm 0.736 0.736 0.000
Tl 0.000 0.000 0.500
Sb 0.333 0.667 0.000
Sb 0.667 0.333 0.000